Version i
Below is a relaxed structure of CaZrAlZn2, with properties calculated at the GGA-PBE level.

Cell and atoms, written as POSCAR:
```
CaZrAlZn2
1.0
4.734 0.000 0.000
0.000 4.734 0.000
0.000 0.000 5.324
Ca Zr Al Zn
1 1 1 2
Cartesian
0.000 0.000 0.000
2.367 2.367 0.000
0.000 0.000 2.662
0.000 2.367 2.662
2.367 0.000 2.662
```

Computed properties:
Its space-group type is P4/mmm (123). Its theoretical density is 4.024 Mg/m³.



Version ii
Below is a relaxed structure of CaZrAlZn2, with properties calculated at the GGA-PBE level.

Cell and atoms, written as POSCAR:
```
CaZrAlZn2
1.0
5.115 0.000 0.000
0.000 5.115 0.000
0.000 0.000 5.349
Ca Zr Al Zn
1 1 1 2
Cartesian
0.000 0.000 0.000
0.000 0.000 2.675
2.558 2.558 2.675
0.000 2.558 0.000
2.558 0.000 0.000
```

Computed properties:
Its space-group type is P4/mmm (123). Its theoretical density is 3.430 Mg/m³.



Which structure wins on stability? version i wins.



Version i
Below is a relaxed structure of CaZr2Al2, with properties calculated at the GGA-PBE level.

Cell and atoms, written as POSCAR:
```
CaZr2Al2
1.0
8.552 0.000 0.000
0.000 8.552 0.000
0.000 0.000 3.083
Ca Zr Al
2 4 4
Cartesian
0.000 0.000 0.000
4.276 4.276 0.000
1.053 3.223 0.000
3.223 7.499 0.000
5.329 1.053 0.000
7.499 5.329 0.000
1.472 5.748 1.542
2.803 1.472 1.542
5.748 7.079 1.542
7.079 2.803 1.542
```

Computed properties:
Its space-group type is P4/mbm (127). Its theoretical density is 4.073 Mg/m³.



Version ii
Below is a relaxed structure of CaZr2Al2, with properties calculated at the GGA-PBE level.

Cell and atoms, written as POSCAR:
```
CaZr2Al2
1.0
8.110 0.000 0.000
0.000 8.110 0.000
0.000 0.000 3.413
Ca Zr Al
2 4 4
Cartesian
0.000 0.000 0.000
4.055 4.055 0.000
1.415 2.639 1.707
2.639 6.694 1.707
5.470 1.415 1.707
6.694 5.470 1.707
0.966 5.021 0.000
3.089 0.966 0.000
5.021 7.144 0.000
7.144 3.089 0.000
```

Computed properties:
Its space-group type is P4/mbm (127). Its theoretical density is 4.090 Mg/m³.



Which structure wins on stability? version ii wins.



Version i
Below is a relaxed structure of CaZrAl, with properties calculated at the GGA-PBE level.

Cell and atoms, written as POSCAR:
```
CaZrAl
1.0
13.407 0.000 0.000
0.000 3.247 0.000
-1.629 0.000 6.768
Ca Zr Al
4 4 4
Cartesian
1.734 0.000 0.477
3.341 1.623 6.291
8.438 1.623 0.477
10.044 0.000 6.291
1.235 0.000 3.829
3.840 1.623 2.939
7.939 1.623 3.829
10.543 0.000 2.939
-1.109 1.623 4.719
6.184 0.000 2.049
5.594 0.000 4.719
12.887 1.623 2.049
```

Computed properties:
Its space-group type is C2/m (12). Its theoretical density is 3.568 Mg/m³.



Version ii
Below is a relaxed structure of CaZrAl, with properties calculated at the GGA-PBE level.

Cell and atoms, written as POSCAR:
```
CaZrAl
1.0
3.632 0.000 0.000
0.000 3.632 0.000
0.000 0.000 24.706
Ca Zr Al
4 4 4
Cartesian
0.000 0.000 1.886
0.000 0.000 22.821
1.816 1.816 10.467
1.816 1.816 14.239
0.000 0.000 5.303
0.000 0.000 19.403
1.816 1.816 7.050
1.816 1.816 17.657
0.000 0.000 8.431
0.000 0.000 16.275
1.816 1.816 3.922
1.816 1.816 20.784
```

Computed properties:
Its space-group type is I4/mmm (139). Its theoretical density is 3.226 Mg/m³.



Which structure wins on stability? version ii wins.



Version i
Below is a relaxed structure of CaZrAl, with properties calculated at the GGA-PBE level.

Cell and atoms, written as POSCAR:
```
CaZrAl
1.0
3.242 0.000 0.000
0.000 3.242 0.000
0.000 0.000 13.873
Ca Zr Al
2 2 2
Cartesian
0.000 0.000 0.000
1.621 1.621 6.937
0.000 0.000 4.152
1.621 1.621 11.089
0.000 0.000 9.243
1.621 1.621 2.306
```

Computed properties:
Its space-group type is I4mm (107). Its theoretical density is 3.604 Mg/m³.



Version ii
Below is a relaxed structure of CaZrAl, with properties calculated at the GGA-PBE level.

Cell and atoms, written as POSCAR:
```
CaZrAl
1.0
4.287 0.000 0.000
0.000 14.535 0.000
0.000 0.000 4.550
Ca Zr Al
4 4 4
Cartesian
0.000 0.000 0.000
0.000 7.268 2.275
2.143 0.000 2.275
2.143 7.268 0.000
0.000 2.588 2.275
0.000 11.948 2.275
2.143 4.680 2.275
2.143 9.855 2.275
0.000 4.587 0.000
0.000 9.948 0.000
2.143 2.681 0.000
2.143 11.855 0.000
```

Computed properties:
Its space-group type is Cmmm (65). Its theoretical density is 3.708 Mg/m³.



Version iii
Below is a relaxed structure of CaZrAl, with properties calculated at the GGA-PBE level.

Cell and atoms, written as POSCAR:
```
CaZrAl
1.0
4.986 0.000 0.000
-2.493 4.318 0.000
0.000 0.000 3.342
Ca Zr Al
1 1 1
Cartesian
0.000 0.000 0.000
2.493 1.439 1.406
0.000 2.879 2.164
```

Computed properties:
Its space-group type is P3m1 (156). Its theoretical density is 3.652 Mg/m³.



Which structure wins on stability? version i wins.